Record 1
4
Lattice="4.270 0.000 0.000 0.000 4.846 0.030 0.000 2.400 6.380" Properties=species:S:1:pos:R:3 comment="BaIn2Se, optimized geometry, DFT GGA-PBE" spacegroup="No. 6" magmom_total_mub_per_cell=0.000 formation_energy_uncorrected_ev_per_atom=-0.74 final_energy_ev_per_atom=-3.4619 pbc="T T T"
Ba 2.135 5.133 4.018
In 0.000 0.299 0.477
In 2.135 2.725 1.180
Se 0.000 2.711 3.940


Record 2
16
Lattice="8.619 -0.015 -0.277 -0.021 8.619 -0.277 -4.430 -4.433 6.362" Properties=species:S:1:pos:R:3 comment="PrAlTl2Se4, optimized geometry, DFT GGA-PBE" spacegroup="No. 74" magmom_total_mub_per_cell=0.000 formation_energy_uncorrected_ev_per_atom=-0.89 final_energy_ev_per_atom=-4.2912 pbc="T T T"
Pr -0.011 4.310 -0.138
Pr 6.393 2.078 2.766
Al 2.084 2.085 2.904
Al 0.000 0.000 0.000
Tl 4.310 -0.008 -0.138
Tl 2.094 -2.224 3.043
Tl 6.383 6.387 2.627
Tl 4.299 4.302 -0.277
Se -2.607 2.219 5.999
Se 4.052 0.242 2.990
Se 0.116 3.929 2.818
Se 6.774 1.951 -0.191
Se 2.301 2.211 5.607
Se 4.042 3.953 3.105
Se 0.126 0.218 2.703
Se 1.866 1.959 0.201


Record 3
4
Lattice="0.000 3.524 3.524 3.524 0.000 3.524 3.524 3.524 0.000" Properties=species:S:1:pos:R:3 comment="Ca2PS, optimized geometry, DFT GGA-PBE" spacegroup="No. 225" magmom_total_mub_per_cell=0.000 formation_energy_uncorrected_ev_per_atom=-1.14 final_energy_ev_per_atom=-4.5265 pbc="T T T"
P 0.000 0.000 0.000
Ca 1.762 1.762 1.762
Ca 5.286 5.286 5.286
S 3.524 3.524 3.524


Record 4
10
Lattice="3.477 0.000 0.000 0.000 13.972 -4.737 0.000 -10.531 10.332" Properties=species:S:1:pos:R:3 comment="Pr2Ho7Th, optimized geometry, DFT GGA-PBE" spacegroup="No. 65" magmom_total_mub_per_cell=0.001 formation_energy_ev_per_fu=1.6 final_energy_ev_per_atom=-4.7415 pbc="T T T"
Pr 1.738 6.751 -0.296
Pr 1.738 -3.310 5.891
Ho 0.000 9.431 -1.944
Ho 0.000 -5.990 7.539
Ho 1.738 -1.538 2.829
Ho 1.738 4.979 2.766
Ho 1.738 3.218 -0.097
Ho 1.738 0.222 5.692
Ho 1.738 1.720 2.797
Th 0.000 0.000 0.000


Record 5
11
Lattice="-2.705 2.591 -0.689 -3.969 -5.257 -4.179 -4.356 -2.306 8.428" Properties=species:S:1:pos:R:3 comment="Nd4Cd5Ir2, optimized geometry, DFT GGA-PBE" spacegroup="No. 10" magmom_total_mub_per_cell=0.000 formation_energy_ev_per_fu=-4.8 final_energy_ev_per_atom=-4.1995 pbc="T T T"
Nd -6.863 -4.086 1.056
Nd -5.733 -1.561 6.110
Nd -4.167 -0.886 2.504
Nd -5.297 -3.411 -2.550
Cd -3.572 -3.619 0.417
Cd -1.407 -1.334 0.510
Cd -1.984 -2.628 -2.089
Cd -6.918 -6.228 3.740
Cd -4.753 -3.943 3.832
Ir -3.090 -1.865 5.114
Ir -5.235 -5.697 -0.865


Record 6
4
Lattice="2.454 0.000 8.599 -1.227 2.126 8.599 -1.227 -2.126 8.599" Properties=species:S:1:pos:R:3 comment="SrHfSe2, optimized geometry, DFT GGA-PBE" spacegroup="No. 166" magmom_total_mub_per_cell=0.000 formation_energy_uncorrected_ev_per_atom=-0.85 final_energy_ev_per_atom=-5.4988 pbc="T T T"
Sr 0.000 0.000 12.898
Hf 0.000 0.000 0.000
Se 0.000 0.000 23.294
Se 0.000 0.000 2.502